Entry 1:
VASP calculation (PBE-GGA) on a relaxed ZrAs crystal.

The formation energy comes out at -1.11 eV/atom.

```
ZrAs
1.0
3.789 0.000 0.000
-1.895 3.282 0.000
0.000 0.000 19.968
As Zr
6 6
direct
0.000 0.000 0.906
0.333 0.667 0.573
0.667 0.333 0.239
0.000 0.000 0.738
0.333 0.667 0.404
0.667 0.333 0.071
0.000 0.000 0.327
0.333 0.667 0.993
0.667 0.333 0.660
0.000 0.000 0.150
0.333 0.667 0.817
0.667 0.333 0.483
```

=====

Entry 2:
VASP calculation (PBE-GGA) on a relaxed TbCePa crystal.

The formation energy comes out at 0.47 eV/atom. For the polymorph energy (0 for the lowest one), the calculation gives 0.348 eV per atom.

```
TbCePa
1.0
3.176 0.000 0.000
0.000 5.251 0.000
0.000 0.000 5.714
Ce Pa Tb
1 1 1
direct
0.000 0.500 0.500
0.500 0.000 0.500
0.000 0.000 0.000
```

=====

Ordered D(E_F) results: 3.155, 6.365; unit states/eV per cell.
Ordered DFT total energy results: -92.54, -18.64; unit eV/cell.